A plane-wave DFT calculation with PBE was carried out for a geometry-optimized Pr4DyY5 structure.

Output
M_tot: 0.0 μB per cell
formation enthalpy at 0 K: 0.091 eV/atom
electronic total energy: -55.13 eV/f.u.
distance to the lowest polymorph of the same formula: 0.000 eV per atom

Unit cell a=4.2075 b=4.2075 c=19.1597 alpha=90.00 beta=90.00 gamma=90.00
Last column: nearest neighbours and their distance in Å.
Space group P4/mmm (No. 123)
Asymmetric unit:
Pr 0.0000 0.0000 0.1008 [2 per cell]  8 Y 3.54-3.55, 2 Pr 3.86
Pr 0.0000 0.0000 0.3023 [2 per cell]  8 Y 3.55, 1 Dy 3.79, 1 Pr 3.86
Dy 0.0000 0.0000 0.5000 [1 per cell]  8 Y 3.50, 2 Pr 3.79
Y 0.5000 0.5000 0.0000 [1 per cell]  8 Pr 3.55, 2 Y 3.86
Y 0.5000 0.5000 0.2012 [2 per cell]  8 Pr 3.54-3.55, 2 Y 3.86-3.88
Y 0.5000 0.5000 0.4036 [2 per cell]  4 Dy 3.50, 4 Pr 3.55, 2 Y 3.70-3.88

=====

A plane-wave DFT calculation with PBE was carried out for a geometry-optimized Tb2GeAs structure.

Output
M_tot: 0.0 μB per cell
formation enthalpy at 0 K: -1.198 eV/atom
electronic total energy: -23.32 eV/f.u.
distance to the lowest polymorph of the same formula: 0.000 eV per atom

Unit cell a=4.2306 b=22.6833 c=4.0522 alpha=90.00 beta=90.00 gamma=90.00
Last column: nearest neighbours and their distance in Å.
Space group Cmcm (No. 63)
Asymmetric unit:
Tb 0.0000 0.0646 0.2500 [4 per cell]  1 As 2.80, 4 Ge 2.97
Tb 0.0000 0.3144 0.2500 [4 per cell]  5 As 2.87-2.93
Ge 0.0000 0.4580 0.2500 [4 per cell]  2 Ge 2.78, 4 Tb 2.97
As 0.0000 0.1880 0.2500 [4 per cell]  6 Tb 2.80-2.93

=====

A plane-wave DFT calculation with PBE was carried out for a geometry-optimized BaH8Pt2Rh structure.

Output
M_tot: 0.0 μB per cell
electronic total energy: -50.42 eV/f.u.

Unit cell a=4.9022 b=4.9022 c=18.4140 alpha=90.00 beta=90.00 gamma=120.00
Last column: nearest neighbours and their distance in Å.
Space group R-3 (No. 148, hexagonal axes)
Asymmetric unit:
Ba 0.0000 0.0000 0.0000 [3 per cell]  12 H 2.72-2.89
H 0.0000 0.0000 0.3014 [6 per cell]  1 Pt 1.63
H 0.0082 0.3096 0.5507 [18 per cell]  1 Pt 1.74, 1 Rh 1.76
Pt 0.0000 0.0000 0.2128 [6 per cell]  4 H 1.63-1.74
Rh 0.0000 0.0000 0.5000 [3 per cell]  6 H 1.76

=====

A plane-wave DFT calculation with PBE was carried out for a geometry-optimized La2Ru2W structure.

Output
M_tot: 0.0 μB per cell
formation enthalpy at 0 K: 0.083 eV/atom
electronic total energy: -40.94 eV/f.u.

Unit cell a=6.7466 b=6.7466 c=4.8616 alpha=90.00 beta=90.00 gamma=90.00
Last column: nearest neighbours and their distance in Å.
Space group P4/mbm (No. 127)
Asymmetric unit:
La 0.1754 0.3246 0.0000 [4 per cell]  6 Ru 2.95-3.28
Ru 0.1498 0.6498 0.5000 [4 per cell]  2 W 2.57, 1 Ru 2.86
W 0.0000 0.0000 0.5000 [2 per cell]  4 Ru 2.57